Here is a relaxed BaC3Cl crystal from Alexandria. Energies are from GGA-PBEsol.

Results
The value obtained for the excess energy over the best structure of this formula in the dataset is 0.000 eV/atom. For the uncorrected energy, the calculation gives -19.9 eV for the cell shown.

Cell: 4.208 4.208 4.208 Å, 90.00 90.00 90.00°
Positions (direct):
Cl (0.000, 0.000, 0.000)
C (0.000, 0.500, 0.000)
C (0.500, 0.000, 0.000)
C (0.000, 0.000, 0.500)
Ba (0.500, 0.500, 0.500)